DFT (PBE-GGA) results for a relaxed structure of GaNiMo.

Lattice parameters (Å, degrees): 2.724 5.051 6.617 72.69 87.69 74.63
Positions (direct):
Ga 0.639 0.152 0.137
Ga 0.361 0.848 0.863
Ni 0.946 0.587 0.180
Ni 0.054 0.413 0.820
Mo 0.281 0.765 0.469
Mo 0.719 0.235 0.531

Values from the calculation:
DOS at the Fermi energy   4.5 states/eV/cell
Energy relative to the elements   -0.093 eV per atom
Space group   No. 2
DFT total energy   -6.64 eV per atom



DFT (PBE-GGA) results for a relaxed structure of CrCoGePdS.

Lattice parameters (Å, degrees): 5.398 2.894 8.967 90.00 94.59 90.00
Site moments in Bohr magnetons follow the coordinates.
Positions (direct):
Cr 0.420 0.000 0.275  0.28
Cr 0.420 0.500 0.775  0.28
Ge 0.577 0.000 0.993  -0.02
Ge 0.577 0.500 0.493  -0.02
Co 0.751 0.000 0.687  0.62
Co 0.751 0.500 0.187  0.62
S 0.152 0.000 0.668  -0.02
S 0.152 0.500 0.168  -0.02
Pd 0.962 0.000 0.415  0.01
Pd 0.962 0.500 0.915  0.01

Values from the calculation:
DOS at the Fermi energy   7.8 states/eV/cell
Formation energy without anion corrections   -0.13 eV/atom
Space group   No. 8
DFT total energy   -6.26 eV per atom
Polymorph energy (0 for the lowest one)   0.166 eV per atom



DFT (PBE-GGA) results for a relaxed structure of Rb2HfUS6.

Lattice parameters (Å, degrees): 7.321 7.321 12.939 73.57 73.57 60.00
Site moments in Bohr magnetons follow the coordinates.
Positions (direct):
Rb 0.874 0.874 0.377  0.00
Rb 0.126 0.126 0.623  0.00
Rb 0.712 0.712 0.864  0.00
Rb 0.288 0.288 0.136  0.00
Hf 0.591 0.591 0.228  0.00
Hf 0.409 0.409 0.772  0.00
U 0.000 0.000 0.000  0.12
U 0.500 0.500 0.500  0.00
S 0.854 0.391 0.365  0.00
S 0.391 0.854 0.365  0.00
S 0.391 0.391 0.365  0.00
S 0.146 0.609 0.635  0.00
S 0.609 0.146 0.635  0.00
S 0.609 0.609 0.635  0.00
S 0.711 0.205 0.879  0.00
S 0.205 0.711 0.879  0.00
S 0.205 0.205 0.879  0.00
S 0.289 0.795 0.121  0.00
S 0.795 0.289 0.121  0.00
S 0.795 0.795 0.121  0.00

Values from the calculation:
DOS at the Fermi energy   1.3 states/eV/cell
Formation energy without anion corrections   -1.37 eV/atom
Space group   No. 166
DFT total energy   -6.16 eV per atom